# 1
DFT (GGA-PBE) results for a geometry-optimized Pr2SmCu3 structure.

Output
**Total moment**: 0.00 μB/f.u.
**Relative energy among the computed polymorphs**: 5 meV per atom
**Crystal system**: orthorhombic
**DFT formation energy**: -79 kJ/mol of formula units
**Uncorrected energy**: -54.8 eV for the cell shown

Cell: 8.0151 8.0151 7.2669 Å, 90.00 90.00 143.16°
Closest atoms and distances in Å follow each position.
Fractional positions:
1 Cu 0.1699 0.8301 0.7612  3 Sm 3.03-3.07, 5 Pr 3.11-3.21
2 Cu 0.1699 0.8301 0.2388  3 Sm 3.03-3.07, 5 Pr 3.11-3.21
3 Pr 0.6662 0.3338 0.5000  8 Cu 3.13-3.17
4 Pr 0.0000 0.0000 0.5000  8 Cu 3.14-3.21
5 Sm 0.6670 0.3330 0.0000  8 Cu 3.03-3.10
6 Pr 0.0000 0.0000 0.0000  8 Cu 3.09-3.11
7 Cu 0.5000 0.5000 0.7561  6 Pr 3.09-3.14, 2 Sm 3.10
8 Sm 0.3330 0.6670 0.0000  8 Cu 3.03-3.10
9 Cu 0.8301 0.1699 0.2388  3 Sm 3.03-3.07, 5 Pr 3.11-3.21
10 Cu 0.5000 0.5000 0.2439  6 Pr 3.09-3.14, 2 Sm 3.10
11 Pr 0.3338 0.6662 0.5000  8 Cu 3.13-3.17
12 Cu 0.8301 0.1699 0.7612  3 Sm 3.03-3.07, 5 Pr 3.11-3.21



# 2
DFT (GGA-PBE) results for a geometry-optimized EuYZr structure.

Output
**Total moment**: 7.54 μB/f.u.
**Relative energy among the computed polymorphs**: 19 meV per atom
**Crystal system**: trigonal
**DFT formation energy**: 53 kJ/mol of formula units
**Uncorrected energy**: -24.7 eV for the cell shown

Cell: 3.4709 3.4709 8.6928 Å, 90.00 90.00 120.00°
Closest atoms and distances in Å follow each position.
Fractional positions:
1 Zr 0.6667 0.3333 0.3437  3 Y 3.26, 6 Zr 3.47, 3 Eu 3.47
2 Y 0.3333 0.6667 0.6391  3 Zr 3.26, 6 Y 3.47
3 Eu 0.0000 0.0000 0.0172  6 Eu 3.47, 3 Zr 3.47, 3 Y 3.85



# 3
DFT (GGA-PBE) results for a geometry-optimized Ac4GeI4 structure.

Output
**Total moment**: 0.00 μB/f.u.
**Crystal system**: tetragonal
**Uncorrected formation energy**: -0.759 eV/atom
**Uncorrected energy**: -34.1 eV for the cell shown

Cell: 7.8954 7.8954 8.5646 Å, 117.45 117.45 90.00°
Closest atoms and distances in Å follow each position.
Fractional positions:
1 Ac 0.6523 0.6523 0.6994  1 Ge 2.94
2 I 0.6492 0.6492 0.2984  4 Ac 3.38-3.41
3 Ge 0.0000 0.0000 0.0000  4 Ac 2.94
4 I 0.0000 0.5000 0.0000  4 Ac 3.46
5 Ac 0.0471 0.0471 0.6994  1 Ge 2.94
6 Ac 0.3477 0.9529 0.3006  1 Ge 2.94
7 I 0.5000 0.0000 0.0000  4 Ac 3.46
8 Ac 0.9529 0.3477 0.3006  1 Ge 2.94
9 I 0.3508 0.3508 0.7016  4 Ac 3.38-3.41



# 4
DFT (GGA-PBE) results for a geometry-optimized Ba4GeSb structure.

Output
**Total moment**: 0.66 μB/f.u.
**Relative energy among the computed polymorphs**: 18 meV per atom
**Crystal system**: monoclinic
**Uncorrected formation energy**: -0.633 eV/atom
**Uncorrected energy**: -40.5 eV for the cell shown

Cell: 7.8983 9.2088 9.3235 Å, 113.81 108.57 102.29°
Closest atoms and distances in Å follow each position.
Fractional positions:
1 Ba 0.3582 0.9434 0.6533  2 Ge 3.43-3.48, 2 Sb 3.63-3.66
2 Ba 0.2050 0.2901 0.3467  2 Ge 3.43-3.48, 2 Sb 3.63-3.66
3 Sb 0.6146 0.3646 0.7293  8 Ba 3.63-3.68
4 Ba 0.3676 0.6471 0.8807  2 Ge 3.41-3.42, 2 Sb 3.64-3.68
5 Ge 0.2510 0.0010 0.0020  8 Ba 3.41-3.48
6 Ba 0.9869 0.7664 0.1193  2 Ge 3.41-3.42, 2 Sb 3.64-3.68
7 Ba 0.6324 0.3529 0.1193  2 Ge 3.41-3.42, 2 Sb 3.64-3.68
8 Ba 0.7950 0.7099 0.6533  2 Ge 3.43-3.48, 2 Sb 3.63-3.66
9 Ba 0.6418 0.0566 0.3467  2 Ge 3.43-3.48, 2 Sb 3.63-3.66
10 Ge 0.7490 0.9990 0.9980  8 Ba 3.41-3.48
11 Sb 0.3854 0.6354 0.2707  8 Ba 3.63-3.68
12 Ba 0.0131 0.2336 0.8807  2 Ge 3.41-3.42, 2 Sb 3.64-3.68



# 5
DFT (GGA-PBE) results for a geometry-optimized Ba5As2S2O12 structure.

Output
**Total moment**: 0.00 μB/f.u.
**Crystal system**: monoclinic
**Uncorrected formation energy**: -2.238 eV/atom
**Uncorrected energy**: -267.3 eV for the cell shown

Cell: 7.8286 10.6986 10.7339 Å, 60.18 90.00 90.00°
Closest atoms and distances in Å follow each position.
Fractional positions:
1 O 0.5000 0.1256 0.4781  1 As 1.74
2 O 0.8223 0.7293 0.3679  1 As 1.73
3 S 0.0000 0.9654 0.6203  4 O 1.49-1.50
4 O 0.1790 0.3687 0.9015  1 As 1.73
5 O 0.8210 0.3687 0.9015  1 As 1.73
6 O 0.5000 0.6716 0.8510  1 As 1.73
7 O 0.5000 0.4654 0.4223  1 S 1.50
8 Ba 0.5000 0.9899 0.7690  5 O 2.71-3.00
9 As 0.0000 0.4179 0.9607  4 O 1.73-1.74
10 O 0.6779 0.6302 0.1020  1 As 1.72
11 S 0.7499 0.9998 0.9932  6 Ba 3.14-3.23
12 O 0.1558 0.9198 0.7124  1 S 1.49
13 O 0.0000 0.8906 0.5330  1 S 1.50
14 O 0.6785 0.0907 0.2747  1 As 1.72
15 O 0.3221 0.6302 0.1020  1 As 1.72
16 Ba 0.0000 0.2328 0.7699  5 O 2.70-3.00
17 Ba 0.0000 0.7540 0.0156  3 O 2.71-2.78
18 As 0.5000 0.5867 0.0367  4 O 1.72-1.73
19 Ba 0.7511 0.3334 0.3243  8 O 2.71-2.95
20 O 0.0000 0.1257 0.5238  1 S 1.50
21 S 0.2501 0.9998 0.9932  6 Ba 3.14-3.23
22 O 0.3442 0.2852 0.6305  1 S 1.49
23 As 0.0000 0.6195 0.4156  4 O 1.73
24 As 0.5000 0.0332 0.3832  4 O 1.72-1.74
25 Ba 0.2489 0.3334 0.3243  8 O 2.71-2.95
26 O 0.8442 0.9198 0.7124  1 S 1.49
27 O 0.0000 0.3403 0.1454  1 As 1.73
28 O 0.5000 0.4758 0.6460  1 S 1.50
29 Ba 0.7486 0.6627 0.6664  8 O 2.74-2.97
30 O 0.6558 0.2852 0.6305  1 S 1.49
31 O 0.5000 0.4004 0.1208  1 As 1.73
32 Ba 0.5000 0.2305 0.0018  5 O 2.69-2.90
33 O 0.0000 0.5095 0.3403  1 As 1.73
34 Ba 0.0000 0.0025 0.2310  5 O 2.81-2.89
35 O 0.5000 0.8487 0.4950  1 As 1.73
36 Ba 0.2514 0.6627 0.6664  8 O 2.74-2.97
37 O 0.0000 0.6049 0.8725  1 As 1.74
38 S 0.5000 0.3779 0.5835  4 O 1.49-1.50
39 O 0.0000 0.5223 0.6015  1 As 1.73
40 O 0.3215 0.0907 0.2747  1 As 1.72
41 Ba 0.5000 0.7693 0.2374  5 O 2.81-2.90
42 O 0.1777 0.7293 0.3679  1 As 1.73



# 6
DFT (GGA-PBE) results for a geometry-optimized Ho4NiSn2 structure.

Output
**Total moment**: 0.00 μB/f.u.
**Crystal system**: monoclinic
**DFT formation energy**: -366 kJ/mol of formula units
**Uncorrected energy**: -35.9 eV for the cell shown

Cell: 4.4836 8.5389 7.6607 Å, 136.16 107.02 90.00°
Closest atoms and distances in Å follow each position.
Fractional positions:
1 Sn 0.6484 0.6351 0.2968  1 Sn 3.02, 8 Ho 3.12-3.31
2 Ho 0.0711 0.7919 0.1421  1 Ni 2.65
3 Sn 0.3516 0.3649 0.7032  1 Sn 3.02, 8 Ho 3.12-3.31
4 Ni 0.0000 0.0000 0.0000  6 Ho 2.65-2.80
5 Ho 0.3326 0.7274 0.6653  2 Ni 2.80, 2 Sn 3.12
6 Ho 0.6674 0.2726 0.3347  2 Ni 2.80, 2 Sn 3.12
7 Ho 0.9289 0.2081 0.8579  1 Ni 2.65



# 7
DFT (GGA-PBE) results for a geometry-optimized SmUTe2 structure.

Output
**Total moment**: 3.03 μB/f.u.
**Relative energy among the computed polymorphs**: 407 meV per atom
**Crystal system**: trigonal
**Uncorrected formation energy**: -0.421 eV/atom
**Uncorrected energy**: -24.0 eV for the cell shown

Cell: 4.0548 4.0548 10.4136 Å, 78.77 78.77 60.00°
Closest atoms and distances in Å follow each position.
Fractional positions:
1 U 0.5000 0.5000 0.5000  6 Te 3.08
2 Sm 0.0000 0.0000 0.0000  2 Te 3.07
3 Te 0.8990 0.8990 0.3029  1 Sm 3.07, 3 U 3.08
4 Te 0.1010 0.1010 0.6971  1 Sm 3.07, 3 U 3.08



# 8
DFT (GGA-PBE) results for a geometry-optimized AcSmTh2S4 structure.

Output
**Total moment**: 0.00 μB/f.u.
**Crystal system**: monoclinic
**Uncorrected formation energy**: -1.891 eV/atom
**Uncorrected energy**: -55.3 eV for the cell shown

Cell: 4.0994 7.0695 7.1257 Å, 109.27 90.00 90.00°
Closest atoms and distances in Å follow each position.
Fractional positions:
1 Ac 0.0000 0.0000 0.0000  6 S 2.96
2 S 0.5000 0.2622 0.2585  3 Th 2.84-2.92, 1 Sm 2.87, 2 Ac 2.96
3 S 0.0000 0.7418 0.2524  3 Th 2.83-2.92, 2 Sm 2.89, 1 Ac 2.96
4 Sm 0.5000 0.5000 0.0000  6 S 2.87-2.89
5 Th 0.5000 0.0000 0.5000  6 S 2.92
6 Th 0.0000 0.5000 0.5000  6 S 2.83-2.84
7 S 0.5000 0.7378 0.7415  3 Th 2.84-2.92, 1 Sm 2.87, 2 Ac 2.96
8 S 0.0000 0.2582 0.7476  3 Th 2.83-2.92, 2 Sm 2.89, 1 Ac 2.96